## SbTeAu (PBE)

Data for a relaxed SbTeAu crystal.

a b c (Å): 6.964 6.964 6.964
angles (deg): 90.00 90.00 90.00
Space group F-43m (No. 216)
Symmetry-distinct sites (fractional):
Sb 0.000 0.000 0.000 (multiplicity 4)
Te 0.000 0.000 0.500 (multiplicity 4)
Au 0.250 0.250 0.750 (multiplicity 4)

Properties
total energy	-3.3423	eV/atom
V	337.7	Å³ per cell
crystal system	cubic
uncorrected formation energy	0.1715	eV per atom
theoretical density	8.8	Mg/m³
size of the total moment	0.00	μB/cell

=====

## ZnPPtSe2 (PBE)

Data for a relaxed ZnPPtSe2 crystal.

a b c (Å): 4.958 4.958 4.745
angles (deg): 90.00 90.00 90.00
Space group P4/mmm (No. 123)
Symmetry-distinct sites (fractional):
Zn 0.000 0.000 0.000 (multiplicity 1)
P 0.500 0.500 0.000 (multiplicity 1)
Pt 0.000 0.000 0.500 (multiplicity 1)
Se 0.000 0.500 0.500 (multiplicity 2)

Properties
total energy	-3.2693	eV/atom
V	116.6	Å³ per cell
crystal system	tetragonal
uncorrected formation energy	0.6695	eV per atom
theoretical density	6.4	Mg/m³
size of the total moment	0.00	μB/cell

=====

## RbSiPCl2 (PBE)

Data for a relaxed RbSiPCl2 crystal.

a b c (Å): 5.297 5.297 4.560
angles (deg): 90.00 90.00 90.00
Space group P4/mmm (No. 123)
Symmetry-distinct sites (fractional):
Rb 0.000 0.000 0.000 (multiplicity 1)
Si 0.500 0.500 0.500 (multiplicity 1)
P 0.500 0.500 0.000 (multiplicity 1)
Cl 0.000 0.500 0.500 (multiplicity 2)

Properties
total energy	-3.5883	eV/atom
V	128.0	Å³ per cell
energy above the most stable polymorph in this dataset	0	meV/atom
crystal system	tetragonal
uncorrected formation energy	-0.4895	eV per atom
theoretical density	2.8	Mg/m³
size of the total moment	0.94	μB/cell

=====

## Mn2TcHN (PBE)

Data for a relaxed Mn2TcHN crystal.

a b c (Å): 3.380 3.380 4.278
angles (deg): 90.00 90.00 90.00
Space group P4/mmm (No. 123)
Symmetry-distinct sites (fractional):
Mn 0.000 0.500 0.000 (multiplicity 2)
Tc 0.000 0.000 0.500 (multiplicity 1)
H 0.500 0.500 0.000 (multiplicity 1)
N 0.500 0.500 0.500 (multiplicity 1)

Properties
total energy	-7.2578	eV/atom
V	48.9	Å³ per cell
crystal system	tetragonal
theoretical density	7.6	Mg/m³
size of the total moment	3.69	μB/cell

=====

## Ce2NdThN4 (PBE)

Data for a relaxed Ce2NdThN4 crystal.

a b c (Å): 6.251 3.614 6.265
angles (deg): 90.00 109.40 90.00
Space group P2/m (No. 10)
Symmetry-distinct sites (fractional):
Ce 0.000 0.000 0.000 (multiplicity 1)
Ce 0.500 0.500 0.000 (multiplicity 1)
Nd 0.000 0.500 0.500 (multiplicity 1)
Th 0.500 0.000 0.500 (multiplicity 1)
N 0.254 0.500 0.245 (multiplicity 2)
N 0.261 0.000 0.761 (multiplicity 2)

Properties
total energy	-8.6749	eV/atom
V	133.5	Å³ per cell
crystal system	monoclinic
uncorrected formation energy	-1.5053	eV per atom
theoretical density	8.9	Mg/m³
size of the total moment	0.02	μB/cell

=====

## CoCu2W (PBE)

Data for a relaxed CoCu2W crystal.

a b c (Å): 2.709 2.709 6.928
angles (deg): 90.00 90.00 90.00
Space group P4mm (No. 99)
Symmetry-distinct sites (fractional):
Co 0.000 0.000 0.000 (multiplicity 1)
Cu 0.000 0.000 0.474 (multiplicity 1)
Cu 0.500 0.500 0.237 (multiplicity 1)
W 0.500 0.500 0.758 (multiplicity 1)

Properties
total energy	-6.8768	eV/atom
V	50.8	Å³ per cell
energy above the most stable polymorph in this dataset	0	meV/atom
crystal system	tetragonal
formation energy	186	meV/atom
theoretical density	12.1	Mg/m³
size of the total moment	0.00	μB/cell

=====

> The highest V belongs to which entry?

SbTeAu

=====

> Which value of total energy does entry 3 give?

-3.5883 eV/atom

=====

> Among the records above, which one has the highest total energy?

ZnPPtSe2